Entry 1:
Here is a geometry-optimized KTc2Pb structure from the Alexandria database. Energies are from PBE.

a b c (Å): 2.8752 2.8752 10.4086
angles (deg): 90.00 90.00 90.00
With the nearest neighbours (Å) after each atom.
Positions (direct):
K: 0.5000 0.5000 0.2500  4 K 2.88
Pb: 0.5000 0.5000 0.7500  4 Pb 2.88, 8 Tc 3.07
Tc: 0.0000 0.0000 0.9711  4 Tc 2.88, 4 Pb 3.07
Tc: 0.0000 0.0000 0.5289  4 Tc 2.88, 4 Pb 3.07

## Properties
Energy relative to the elements: 1360 meV per atom
Total energy: -5.02 eV/atom
D(E_F): 4.7 states/eV/f.u.

---

Entry 2:
Here is a geometry-optimized CoSnRh2Cl structure from the Alexandria database. Energies are from PBE.

a b c (Å): 4.3726 5.2212 4.3726
angles (deg): 90.00 90.00 90.00
With the nearest neighbours (Å) after each atom.
Positions (direct):
Co: 0.5000 0.5000 0.5000  4 Sn 3.09, 8 Rh 3.41
Rh: 0.0000 0.0000 0.5000  2 Cl 2.19
Rh: 0.5000 0.0000 0.0000  2 Cl 2.19
Sn: 0.0000 0.5000 0.0000  2 Cl 2.61
Cl: 0.0000 0.0000 0.0000  4 Rh 2.19

## Properties
Formation energy from raw total energies: 5.25 eV/f.u.
Total energy: -4.48 eV/atom
D(E_F): 7.4 states/eV/f.u.

---

Copy entry 2 word for word.
Here is a geometry-optimized CoSnRh2Cl structure from the Alexandria database. Energies are from PBE.

a b c (Å): 4.3726 5.2212 4.3726
angles (deg): 90.00 90.00 90.00
With the nearest neighbours (Å) after each atom.
Positions (direct):
Co: 0.5000 0.5000 0.5000  4 Sn 3.09, 8 Rh 3.41
Rh: 0.0000 0.0000 0.5000  2 Cl 2.19
Rh: 0.5000 0.0000 0.0000  2 Cl 2.19
Sn: 0.0000 0.5000 0.0000  2 Cl 2.61
Cl: 0.0000 0.0000 0.0000  4 Rh 2.19

## Properties
Formation energy from raw total energies: 5.25 eV/f.u.
Total energy: -4.48 eV/atom
D(E_F): 7.4 states/eV/f.u.

---

Which value of D(E_F) does entry 1 give? 4.7 states/eV/f.u.